Version w
## CdInPb (PBE)

Data for a geometry-optimized CdInPb structure.

- crystal system = triclinic

Cell: 3.3439 6.1300 9.9989 Å, 81.29 87.60 87.07°
Space group P1 (No. 1)
Unique sites:
Cd: 0.0000 0.0000 0.0000 [1 per cell]
Cd: 0.4672 0.9206 0.2421 [1 per cell]
In: 0.5042 0.1034 0.4971 [1 per cell]
In: 0.9644 0.8147 0.7456 [1 per cell]
Pb: 0.4947 0.3406 0.7696 [1 per cell]
Pb: 0.9738 0.5782 0.4721 [1 per cell]

---

Version x
## CdInPb (PBE)

Data for a geometry-optimized CdInPb structure.

- crystal system = orthorhombic

Cell: 3.7121 5.6033 16.0907 Å, 90.00 90.00 90.00°
Space group Fmm2 (No. 42)
Unique sites:
Cd: 0.0000 0.0000 0.0000 [4 per cell]
In: 0.0000 0.0000 0.6562 [4 per cell]
Pb: 0.0000 0.0000 0.3356 [4 per cell]

---

Short version: version x, version w, most stable first.

---

Version w
## Cd7In2Pb3 (PBE)

Data for a geometry-optimized Cd7In2Pb3 structure.

- crystal system = monoclinic

Cell: 5.7665 3.2125 17.3035 Å, 90.00 95.30 90.00°
Space group P2/m (No. 10)
Unique sites:
Cd: 0.0000 0.0000 0.0000 [1 per cell]
Cd: 0.0867 0.5000 0.8508 [2 per cell]
Cd: 0.2443 0.5000 0.4769 [2 per cell]
Cd: 0.4426 0.0000 0.1678 [2 per cell]
In: 0.2008 0.5000 0.3033 [2 per cell]
Pb: 0.2875 0.0000 0.6480 [2 per cell]
Pb: 0.5000 0.5000 0.0000 [1 per cell]

---

Version x
## Cd7In2Pb3 (PBE)

Data for a geometry-optimized Cd7In2Pb3 structure.

- crystal system = trigonal

Cell: 5.8835 5.8835 32.0527 Å, 90.00 90.00 120.00°
Space group R-3m (No. 166, hexagonal axes)
Unique sites:
Cd: 0.0000 0.0000 0.0000 [3 per cell]
Cd: 0.0035 0.5018 0.4133 [18 per cell]
In: 0.0000 0.0000 0.1660 [6 per cell]
Pb: 0.0000 0.0000 0.3580 [6 per cell]
Pb: 0.0000 0.0000 0.5000 [3 per cell]

---

Short version: version w, version x, most stable first.

---

Version w
## Cd9In2Pb (PBE)

Data for a geometry-optimized Cd9In2Pb structure.

- crystal system = hexagonal

Cell: 10.4744 10.4744 3.1373 Å, 90.00 90.00 120.00°
Space group P6/mmm (No. 191)
Unique sites:
Cd: 0.0000 0.5000 0.0000 [3 per cell]
Cd: 0.1742 0.3484 0.5000 [6 per cell]
In: 0.3333 0.6667 0.0000 [2 per cell]
Pb: 0.0000 0.0000 0.0000 [1 per cell]

---

Version x
## Cd9In2Pb (PBE)

Data for a geometry-optimized Cd9In2Pb structure.

- crystal system = tetragonal

Cell: 4.6028 4.6028 13.7320 Å, 90.00 90.00 90.00°
Space group P4/mmm (No. 123)
Unique sites:
Cd: 0.0000 0.0000 0.0000 [1 per cell]
Cd: 0.0000 0.0000 0.3356 [2 per cell]
Cd: 0.0000 0.5000 0.1719 [4 per cell]
Cd: 0.0000 0.5000 0.5000 [2 per cell]
In: 0.5000 0.5000 0.3362 [2 per cell]
Pb: 0.5000 0.5000 0.0000 [1 per cell]

---

Short version: version x, version w, most stable first.

---

Version w
## Cd6InPb (PBE)

Data for a geometry-optimized Cd6InPb structure.

- crystal system = tetragonal

Cell: 4.5577 4.5577 9.5000 Å, 90.00 90.00 90.00°
Space group P4/mmm (No. 123)
Unique sites:
Cd: 0.0000 0.0000 0.0000 [1 per cell]
Cd: 0.0000 0.0000 0.5000 [1 per cell]
Cd: 0.0000 0.5000 0.2432 [4 per cell]
In: 0.5000 0.5000 0.0000 [1 per cell]
Pb: 0.5000 0.5000 0.5000 [1 per cell]

---

Version x
## Cd6InPb (PBE)

Data for a geometry-optimized Cd6InPb structure.

- crystal system = monoclinic

Cell: 10.4376 4.6335 9.0996 Å, 90.00 116.73 90.00°
Space group C2/m (No. 12)
Unique sites:
Cd: 0.0085 0.0000 0.2484 [4 per cell]
Cd: 0.2482 0.0000 0.1177 [4 per cell]
Cd: 0.2491 0.0000 0.6292 [4 per cell]
In: 0.0000 0.5000 0.0000 [2 per cell]
Pb: 0.0000 0.5000 0.5000 [2 per cell]

---

Short version: version x, version w, most stable first.

---

Version w
## Cd4InPb2 (PBE)

Data for a geometry-optimized Cd4InPb2 structure.

- crystal system = tetragonal

Cell: 5.6018 5.6018 15.2065 Å, 90.00 90.00 90.00°
Space group I4/mmm (No. 139)
Unique sites:
Cd: 0.0000 0.0000 0.1920 [4 per cell]
Cd: 0.0000 0.5000 0.0000 [4 per cell]
In: 0.0000 0.0000 0.0000 [2 per cell]
Pb: 0.0000 0.0000 0.3884 [4 per cell]

---

Version x
## Cd4InPb2 (PBE)

Data for a geometry-optimized Cd4InPb2 structure.

- crystal system = orthorhombic

Cell: 3.2861 34.0380 3.2806 Å, 90.00 90.00 90.00°
Space group Cmmm (No. 65)
Unique sites:
Cd: 0.0000 0.0689 0.0000 [4 per cell]
Cd: 0.0000 0.3687 0.5000 [4 per cell]
In: 0.0000 0.5000 0.5000 [2 per cell]
Pb: 0.0000 0.2042 0.0000 [4 per cell]

---

Short version: version x, version w, most stable first.

---

Version w
## Cd3In2Pb (PBE)

Data for a geometry-optimized Cd3In2Pb structure.

- crystal system = monoclinic

Cell: 17.3153 4.4799 9.2472 Å, 90.00 119.76 90.00°
Space group C2/m (No. 12)
Unique sites:
Cd: 0.0799 0.0000 0.1883 [4 per cell]
Cd: 0.0846 0.5000 0.9645 [4 per cell]
Cd: 0.2456 0.0000 0.1132 [4 per cell]
In: 0.0879 0.0000 0.7280 [4 per cell]
In: 0.2454 0.5000 0.3597 [4 per cell]
Pb: 0.0852 0.5000 0.4548 [4 per cell]

---

Version x
## Cd3In2Pb (PBE)

Data for a geometry-optimized Cd3In2Pb structure.

- crystal system = monoclinic

Cell: 14.1189 4.6955 10.4286 Å, 90.00 116.48 90.00°
Space group C2/m (No. 12)
Unique sites:
Cd: 0.0472 0.0000 0.3908 [4 per cell]
Cd: 0.1198 0.5000 0.6115 [4 per cell]
Cd: 0.2117 0.5000 0.3907 [4 per cell]
In: 0.0400 0.5000 0.8569 [4 per cell]
In: 0.1995 0.0000 0.8569 [4 per cell]
Pb: 0.1310 0.0000 0.1401 [4 per cell]

---

Short version: version x, version w, most stable first.

---

Version w
## Cd2InPb8 (PBE)

Data for a geometry-optimized Cd2InPb8 structure.

- crystal system = monoclinic

Cell: 14.2745 8.8706 5.8020 Å, 90.00 103.82 90.00°
Space group C2/m (No. 12)
Unique sites:
Cd: 0.1192 0.0000 0.0021 [4 per cell]
In: 0.0000 0.0000 0.5000 [2 per cell]
Pb: 0.0702 0.2960 0.2818 [8 per cell]
Pb: 0.1419 0.5000 0.8451 [4 per cell]
Pb: 0.2300 0.0000 0.5646 [4 per cell]

---

Version x
## Cd2InPb8 (PBE)

Data for a geometry-optimized Cd2InPb8 structure.

- crystal system = monoclinic

Cell: 17.3438 4.9741 8.0330 Å, 90.00 108.64 90.00°
Space group C2/m (No. 12)
Unique sites:
Cd: 0.2262 0.0000 0.1386 [4 per cell]
In: 0.0000 0.5000 0.5000 [2 per cell]
Pb: 0.0434 0.0000 0.2296 [4 per cell]
Pb: 0.1000 0.5000 0.9647 [4 per cell]
Pb: 0.1424 0.0000 0.6983 [4 per cell]
Pb: 0.1801 0.5000 0.4164 [4 per cell]

---

Short version: version x, version w, most stable first.

---

Version w
## CdIn6Pb3 (PBE)

Data for a geometry-optimized CdIn6Pb3 structure.

- crystal system = monoclinic

Cell: 10.0092 5.0287 12.0561 Å, 90.00 105.74 90.00°
Space group P2_1/m (No. 11)
Unique sites:
Cd: 0.1957 0.2500 0.1630 [2 per cell]
In: 0.0159 0.2500 0.9044 [2 per cell]
In: 0.0921 0.2500 0.5530 [2 per cell]
In: 0.2648 0.7500 0.0073 [2 per cell]
In: 0.3294 0.2500 0.4248 [2 per cell]
In: 0.4097 0.7500 0.2990 [2 per cell]
In: 0.4734 0.2500 0.1010 [2 per cell]
Pb: 0.0571 0.7500 0.7273 [2 per cell]
Pb: 0.3136 0.2500 0.8091 [2 per cell]
Pb: 0.3442 0.7500 0.6073 [2 per cell]

---

Version x
## CdIn6Pb3 (PBE)

Data for a geometry-optimized CdIn6Pb3 structure.

- crystal system = trigonal

Cell: 6.0092 6.0092 9.5606 Å, 90.00 90.00 120.00°
Space group P-31m (No. 162)
Unique sites:
Cd: 0.0000 0.0000 0.0000 [1 per cell]
In: 0.0000 0.3795 0.8022 [6 per cell]
Pb: 0.0000 0.0000 0.5000 [1 per cell]
Pb: 0.3333 0.6667 0.5000 [2 per cell]

---

Short version: version w, version x, most stable first.

---

Version w
## Cd3In2Pb3 (PBE)

Data for a geometry-optimized Cd3In2Pb3 structure.

- crystal system = trigonal

Cell: 9.2290 9.2290 9.2281 Å, 90.00 90.00 120.00°
Space group R32 (No. 155, hexagonal axes)
Unique sites:
Cd: 0.0000 0.2914 0.0000 [9 per cell]
In: 0.0000 0.0000 0.1935 [6 per cell]
Pb: 0.0000 0.7720 0.5000 [9 per cell]

---

Version x
## Cd3In2Pb3 (PBE)

Data for a geometry-optimized Cd3In2Pb3 structure.

- crystal system = orthorhombic

Cell: 4.5150 4.7338 20.6122 Å, 90.00 90.00 90.00°
Space group Immm (No. 71)
Unique sites:
Cd: 0.0000 0.0000 0.0000 [2 per cell]
Cd: 0.0000 0.5000 0.1245 [4 per cell]
In: 0.0000 0.0000 0.2507 [4 per cell]
Pb: 0.0000 0.0000 0.5000 [2 per cell]
Pb: 0.0000 0.5000 0.3738 [4 per cell]

---

Short version: version x, version w, most stable first.

---

Version w
## CdIn2Pb4 (PBE)

Data for a geometry-optimized CdIn2Pb4 structure.

- crystal system = trigonal

Cell: 5.5106 5.5106 23.6391 Å, 90.00 90.00 120.00°
Space group R-3m (No. 166, hexagonal axes)
Unique sites:
Cd: 0.0000 0.0000 0.0000 [3 per cell]
In: 0.0000 0.0000 0.2877 [6 per cell]
Pb: 0.0000 0.0000 0.1396 [6 per cell]
Pb: 0.0000 0.0000 0.4243 [6 per cell]

---

Version x
## CdIn2Pb4 (PBE)

Data for a geometry-optimized CdIn2Pb4 structure.

- crystal system = orthorhombic

Cell: 12.5689 6.7103 10.5807 Å, 90.00 90.00 90.00°
Space group Cmce (No. 64)
Unique sites:
Cd: 0.0000 0.0000 0.0000 [4 per cell]
In: 0.1508 0.0000 0.5000 [8 per cell]
Pb: 0.0000 0.1750 0.2678 [8 per cell]
Pb: 0.2500 0.1878 0.7500 [8 per cell]

---

Short version: version w, version x, most stable first.

---

Version w
## Cd4In4Pb (PBE)

Data for a geometry-optimized Cd4In4Pb structure.

- crystal system = tetragonal

Cell: 7.8192 7.8192 8.5338 Å, 90.00 90.00 90.00°
Space group P4_2/nmc (No. 137, origin choice 2)
Unique sites:
Cd: 0.0390 0.2500 0.0127 [8 per cell]
In: 0.0198 0.7500 0.6327 [8 per cell]
Pb: 0.2500 0.7500 0.2500 [2 per cell]

---

Version x
## Cd4In4Pb (PBE)

Data for a geometry-optimized Cd4In4Pb structure.

- crystal system = tetragonal

Cell: 9.8542 9.8542 4.7738 Å, 90.00 90.00 90.00°
Space group I4/mmm (No. 139)
Unique sites:
Cd: 0.0000 0.3435 0.0000 [8 per cell]
In: 0.1715 0.1715 0.5000 [8 per cell]
Pb: 0.0000 0.0000 0.0000 [2 per cell]

---

Short version: version x, version w, most stable first.